No. 1
DFT (PBE) results for Pr8Ga2Rh after structural relaxation.

## Properties
D(E_F): 10.65 states/eV/f.u.
Offset from the most stable computed form: 0.0 meV/atom
ρ: 6.9 g/cm³
Energy of formation: -318 meV/atom
Total magnetic moment: 0.00 μB/cell
E_tot: -5.013 eV per atom
Symmetry: C2/m

Unit cell a=9.748 b=9.748 c=6.990 alpha=100.55 beta=100.55 gamma=30.30
Fractional coordinates of all 11 atoms:
Pr (0.022, 0.022, 0.279)
Pr (0.209, 0.209, 0.809)
Pr (0.347, 0.347, 0.525)
Pr (0.407, 0.407, 0.043)
Pr (0.593, 0.593, 0.957)
Pr (0.653, 0.653, 0.475)
Pr (0.791, 0.791, 0.191)
Pr (0.978, 0.978, 0.721)
Ga (0.188, 0.188, 0.246)
Ga (0.812, 0.812, 0.754)
Rh (0.500, 0.500, 0.500)

No. 2
DFT (PBE) results for NpAl6Cu3 after structural relaxation.

## Properties
D(E_F): 11.22 states/eV/f.u.
ρ: 5.7 g/cm³
Energy of formation: -9 meV/atom
Total magnetic moment: 8.34 μB/cell
E_tot: -4.778 eV per atom
Symmetry: P2_1/m

Unit cell a=8.695 b=4.041 c=9.821 alpha=90.00 beta=96.80 gamma=90.00
Fractional coordinates of all 20 atoms:
Np (0.019, 0.250, 0.214)
Np (0.981, 0.750, 0.786)
Al (0.098, 0.750, 0.465)
Al (0.184, 0.250, 0.945)
Al (0.210, 0.250, 0.677)
Al (0.361, 0.250, 0.208)
Al (0.412, 0.750, 0.577)
Al (0.498, 0.250, 0.907)
Al (0.502, 0.750, 0.093)
Al (0.588, 0.250, 0.423)
Al (0.639, 0.750, 0.792)
Al (0.790, 0.750, 0.323)
Al (0.816, 0.750, 0.055)
Al (0.902, 0.250, 0.535)
Cu (0.215, 0.750, 0.086)
Cu (0.295, 0.250, 0.446)
Cu (0.342, 0.750, 0.834)
Cu (0.658, 0.250, 0.166)
Cu (0.705, 0.750, 0.554)
Cu (0.785, 0.250, 0.914)

No. 3
DFT (PBE) results for KSbP after structural relaxation.

## Properties
Formation energy from raw total energies: 0.185 eV/atom
D(E_F): 2.20 states/eV/f.u.
Offset from the most stable computed form: 459.8 meV/atom
ρ: 3.5 g/cm³
Total magnetic moment: 0.00 μB/cell
E_tot: -3.358 eV per atom
Symmetry: F-43m

Unit cell a=5.062 b=5.062 c=5.062 alpha=60.00 beta=60.00 gamma=60.00
Fractional coordinates of all 3 atoms:
K (0.000, 0.000, 0.000)
Sb (0.500, 0.500, 0.500)
P (0.250, 0.250, 0.250)

No. 4
DFT (PBE) results for ZrCuPS2 after structural relaxation.

## Properties
Formation energy from raw total energies: 0.110 eV/atom
D(E_F): 2.44 states/eV/f.u.
Offset from the most stable computed form: 0.0 meV/atom
ρ: 4.6 g/cm³
Total magnetic moment: 0.00 μB/cell
E_tot: -5.151 eV per atom
Symmetry: P4/mmm

Unit cell a=4.436 b=4.436 c=4.553 alpha=90.00 beta=90.00 gamma=90.00
Fractional coordinates of all 5 atoms:
Zr (0.000, 0.000, 0.000)
Cu (0.500, 0.500, 0.500)
P (0.500, 0.500, 0.000)
S (0.000, 0.500, 0.500)
S (0.500, 0.000, 0.500)

No. 5
DFT (PBE) results for RhPb2Au after structural relaxation.

## Properties
D(E_F): 1.90 states/eV/f.u.
ρ: 13.3 g/cm³
Energy of formation: -21 meV/atom
Total magnetic moment: 0.00 μB/cell
E_tot: -4.532 eV per atom
Symmetry: Pm

Unit cell a=3.825 b=4.125 c=5.972 alpha=90.00 beta=108.49 gamma=90.00
Fractional coordinates of all 4 atoms:
Rh (0.000, 0.000, 0.000)
Pb (0.451, 0.500, 0.901)
Pb (0.749, 0.000, 0.495)
Au (0.173, 0.500, 0.343)

No. 6
DFT (PBE) results for SrGaCu3 after structural relaxation.

## Properties
D(E_F): 2.15 states/eV/f.u.
Offset from the most stable computed form: 0.0 meV/atom
ρ: 5.9 g/cm³
Energy of formation: -151 meV/atom
Total magnetic moment: 0.00 μB/cell
E_tot: -3.550 eV per atom
Symmetry: Imma

Unit cell a=6.645 b=6.645 c=6.645 alpha=132.97 beta=94.65 gamma=103.72
Fractional coordinates of all 10 atoms:
Sr (0.305, 0.055, 0.250)
Sr (0.695, 0.945, 0.750)
Ga (0.000, 0.500, 0.500)
Ga (0.500, 0.500, 0.000)
Cu (0.093, 0.343, 0.750)
Cu (0.216, 0.000, 0.716)
Cu (0.216, 0.500, 0.216)
Cu (0.784, 0.000, 0.284)
Cu (0.784, 0.500, 0.784)
Cu (0.907, 0.657, 0.250)